# 1
An optimized crystal structure of SrNd14Ho. Source: Alexandria via LeMat-Bulk, functional PBE.

Calculated values
DFT total energy	-4.518	eV/atom
magnetic moment	0.000	μB per formula unit
formation enthalpy at 0 K	0.04	eV/atom

Lattice parameters (Å, degrees): 7.4191 7.4191 10.3864 90.00 90.00 90.00
Space group P4/mmm (No. 123)
One atom of each set of equivalent atoms:
Sr (0.0000, 0.0000, 0.0000) x1
Nd (0.0000, 0.0000, 0.5000) x1
Nd (0.0000, 0.5000, 0.0000) x2
Nd (0.0000, 0.5000, 0.5000) x2
Nd (0.2563, 0.2563, 0.2535) x8
Nd (0.5000, 0.5000, 0.5000) x1
Ho (0.5000, 0.5000, 0.0000) x1



# 2
An optimized crystal structure of CsZn2Pd. Source: Alexandria via LeMat-Bulk, functional PBE.

Calculated values
DFT total energy	-1.721	eV/atom
magnetic moment	0.000	μB per formula unit
formation enthalpy at 0 K	0.43	eV/atom
excess energy over the best structure of this formula in the dataset	0.6512	eV/atom

Lattice parameters (Å, degrees): 7.5443 7.5443 7.5443 90.00 90.00 90.00
Space group Fm-3m (No. 225)
One atom of each set of equivalent atoms:
Cs (0.0000, 0.0000, 0.0000) x4
Zn (0.2500, 0.2500, 0.2500) x8
Pd (0.0000, 0.0000, 0.5000) x4



# 3
An optimized crystal structure of Pr3Er2TmS6. Source: Alexandria via LeMat-Bulk, functional PBE.

Calculated values
DFT total energy	-6.390	eV/atom
magnetic moment	0.000	μB per formula unit

Lattice parameters (Å, degrees): 6.7978 11.8041 7.0603 90.00 108.81 90.00
Space group C2/m (No. 12)
One atom of each set of equivalent atoms:
Pr (0.0000, 0.0000, 0.0000) x2
Pr (0.0000, 0.3327, 0.0000) x4
Er (0.0000, 0.1666, 0.5000) x4
Tm (0.0000, 0.5000, 0.5000) x2
S (0.2411, 0.3340, 0.7258) x8
S (0.2434, 0.0000, 0.7263) x4